The following is a GGA-PBEsol calculation of a relaxed structure of K2AsBr, from Alexandria via LeMat-Bulk.

Lattice parameters (Å, degrees): 5.745 3.490 12.471 90.00 90.00 90.00
Positions (direct):
K (0.000, 0.000, 0.000)
K (0.000, 0.500, 0.500)
K (0.500, 0.000, 0.233)
K (0.500, 0.500, 0.733)
As (0.000, 0.000, 0.738)
As (0.000, 0.500, 0.238)
Br (0.500, 0.000, 0.503)
Br (0.500, 0.500, 0.003)

Calculated values
- M_tot (μB/cell) = 2.265
- space group = Amm2 (38)
- uncorrected formation energy (eV per atom) = -0.610
- total DFT energy (no corrections) (eV/atom) = -2.921

***

The following is a GGA-PBEsol calculation of a relaxed structure of KAs2Br, from Alexandria via LeMat-Bulk.

Lattice parameters (Å, degrees): 3.200 3.200 9.041 90.00 90.00 90.00
Positions (direct):
K (0.000, 0.000, 0.000)
As (0.500, 0.500, 0.279)
As (0.500, 0.500, 0.721)
Br (0.000, 0.000, 0.500)

Calculated values
- energy above the most stable polymorph in this dataset (meV/atom) = 585
- M_tot (μB/cell) = 0.000
- space group = P4/mmm (123)
- uncorrected formation energy (eV per atom) = 0.382
- total DFT energy (no corrections) (eV/atom) = -2.922

***

The following is a GGA-PBEsol calculation of a relaxed structure of KLaAsBr2, from Alexandria via LeMat-Bulk.

Lattice parameters (Å, degrees): 5.851 5.851 5.516 90.00 90.00 90.00
Positions (direct):
K (0.000, 0.000, 0.000)
La (0.500, 0.500, 0.500)
As (0.500, 0.500, 0.000)
Br (0.000, 0.500, 0.500)
Br (0.500, 0.000, 0.500)

Calculated values
- M_tot (μB/cell) = 0.466
- space group = P4/mmm (123)
- uncorrected formation energy (eV per atom) = -1.160
- total DFT energy (no corrections) (eV/atom) = -4.225